[1]
# Tb5Pm6Er (PBE, relaxed)
# VASP energy ... -56.0 eV per formula unit
data_Tb5Pm6Er
_chemical_formula_sum 'Tb10 Pm12 Er2'
_symmetry_space_group_name_H-M 'I m m m'
_symmetry_Int_Tables_number 71
_symmetry_space_group_name_Hall '-I 2 2'
_cell_length_a 5.097
_cell_length_b 10.152
_cell_length_c 15.286
_cell_angle_alpha 90.00
_cell_angle_beta 90.00
_cell_angle_gamma 90.00
loop_
_atom_site_label
_atom_site_type_symbol
_atom_site_fract_x
_atom_site_fract_y
_atom_site_fract_z
Tb1 Tb 0.000 0.000 0.000
Tb2 Tb 0.000 0.000 0.334
Tb3 Tb 0.000 0.500 0.333
Pm1 Pm 0.000 0.249 0.500
Pm2 Pm 0.000 0.250 0.167
Er1 Er 0.000 0.500 0.000

[2]
# Tb5Dy2In4 (PBE, relaxed)
# VASP energy ... -46.1 eV per formula unit
data_Tb5Dy2In4
_chemical_formula_sum 'Tb5 Dy2 In4'
_symmetry_space_group_name_H-M 'P 1 2/m 1'
_symmetry_Int_Tables_number 10
_cell_length_a 8.620
_cell_length_b 3.428
_cell_length_c 10.537
_cell_angle_alpha 90.00
_cell_angle_beta 95.94
_cell_angle_gamma 90.00
loop_
_symmetry_equiv_pos_as_xyz
'x,y,z'
'-x,-y,-z'
'-x,y,-z'
'x,-y,z'
loop_
_atom_site_label
_atom_site_type_symbol
_atom_site_fract_x
_atom_site_fract_y
_atom_site_fract_z
Tb1 Tb 0.000 0.000 0.000
Tb2 Tb 0.037 0.000 0.333
Tb3 Tb 0.338 0.000 0.857
Dy1 Dy 0.416 0.000 0.361
In1 In 0.253 0.500 0.577
In2 In 0.300 0.500 0.118

[3]
# Tm4ZrSb5 (PBE, relaxed)
# ΔE_f (raw) ... -0.959 eV per atom
data_Tm4ZrSb5
_chemical_formula_sum 'Tm8 Zr2 Sb10'
_symmetry_space_group_name_H-M 'I 4/m m m'
_symmetry_Int_Tables_number 139
_symmetry_space_group_name_Hall '-I 4 2'
_cell_length_a 4.292
_cell_length_b 4.292
_cell_length_c 30.354
_cell_angle_alpha 90.00
_cell_angle_beta 90.00
_cell_angle_gamma 90.00
loop_
_atom_site_label
_atom_site_type_symbol
_atom_site_fract_x
_atom_site_fract_y
_atom_site_fract_z
Tm1 Tm 0.000 0.000 0.099
Tm2 Tm 0.000 0.000 0.301
Zr1 Zr 0.000 0.000 0.500
Sb1 Sb 0.000 0.000 0.000
Sb2 Sb 0.000 0.000 0.200
Sb3 Sb 0.000 0.000 0.402

[4]
# AcAlZnAg3 (PBE, relaxed)
# VASP energy ... -18.2 eV per formula unit
data_AcAlZnAg3
_chemical_formula_sum 'Ac4 Al4 Zn4 Ag12'
_symmetry_space_group_name_H-M 'C m c m'
_symmetry_Int_Tables_number 63
_symmetry_space_group_name_Hall '-C 2c 2'
_cell_length_a 6.847
_cell_length_b 12.830
_cell_length_c 6.280
_cell_angle_alpha 90.00
_cell_angle_beta 90.00
_cell_angle_gamma 90.00
loop_
_atom_site_label
_atom_site_type_symbol
_atom_site_fract_x
_atom_site_fract_y
_atom_site_fract_z
Ac1 Ac 0.000 0.215 0.250
Al1 Al 0.000 0.465 0.250
Zn1 Zn 0.000 0.131 0.750
Ag1 Ag 0.000 0.335 0.750
Ag2 Ag 0.207 0.000 0.000

no.,D(E_F) (states/eV per cell)
1,31.2
2,12.2
3,4.3
4,9.2